La2SbTe: optimized geometry, GGA-PBE.

Output
Calculated density = 6.25 Mg/m³
E_form (uncorrected) = -1400 meV per atom
Symmetry = R3m (160)
Energy relative to the lowest polymorph listed for this composition = 76 meV/atom
DOS at the Fermi energy = 0.844 states/eV per atom

abc: 8.385 8.385 8.385
angles: 31.16 31.16 31.16
Element x y z (fractional)
La 0.000 0.000 0.000
La 0.178 0.178 0.178
Sb 0.590 0.590 0.590
Te 0.421 0.421 0.421

***

KSr2S2: optimized geometry, GGA-PBE.

Output
Calculated density = 3.25 Mg/m³
E_form (uncorrected) = -1388 meV per atom
Symmetry = P4/mbm (127)
DOS at the Fermi energy = 0.189 states/eV per atom

abc: 8.327 8.327 4.102
angles: 90.00 90.00 90.00
Element x y z (fractional)
K 0.000 0.000 0.000
K 0.500 0.500 0.000
Sr 0.153 0.347 0.500
Sr 0.347 0.847 0.500
Sr 0.653 0.153 0.500
Sr 0.847 0.653 0.500
S 0.152 0.652 0.000
S 0.348 0.152 0.000
S 0.652 0.848 0.000
S 0.848 0.348 0.000

***

Tb2Ge3Au2: optimized geometry, GGA-PBE.

Output
Calculated density = 10.55 Mg/m³
Energy of formation from the pure elements = -0.6373 eV/atom
Symmetry = Cmcm (63)
DOS at the Fermi energy = 0.271 states/eV per atom

abc: 9.678 9.678 7.076
angles: 90.00 90.00 153.80
Element x y z (fractional)
Tb 0.050 0.950 0.750
Tb 0.153 0.847 0.250
Tb 0.847 0.153 0.750
Tb 0.950 0.050 0.250
Ge 0.221 0.779 0.750
Ge 0.440 0.560 0.568
Ge 0.440 0.560 0.932
Ge 0.560 0.440 0.068
Ge 0.560 0.440 0.432
Ge 0.779 0.221 0.250
Au 0.311 0.689 0.047
Au 0.311 0.689 0.453
Au 0.689 0.311 0.547
Au 0.689 0.311 0.953

***

- Which of these has the highest DOS at the Fermi energy?
  La2SbTe